Record 1
DFT (PBE) results for a relaxed KAs2P crystal.

Geometry as POSCAR:
```
KAs2P
1.0
-5.096 3.575 -2.348
-2.085 -2.528 5.790
-0.918 1.904 1.767
As K P
2 1 1
Direct
0.000 0.000 0.000
0.500 0.500 0.000
0.500 0.000 0.500
0.000 0.500 0.500
```

Results
The total magnetization comes out at 0.000 μB/f.u. The total energy is -14.53 eV/f.u. Its crystal system is monoclinic.

Record 2
DFT (PBE) results for a relaxed KAsP2 crystal.

Geometry as POSCAR:
```
KAsP2
1.0
-0.206 -0.674 -4.598
-2.362 -1.990 0.398
-3.957 4.600 -0.498
As K P
1 1 2
Direct
0.000 0.251 0.437
0.500 0.750 0.758
0.000 0.250 0.068
0.500 0.250 0.238
```

Results
The total magnetization comes out at 0.000 μB/f.u. The total energy is -16.17 eV/f.u. Its crystal system is orthorhombic.

Record 3
DFT (PBE) results for a relaxed KAs2P crystal.

Geometry as POSCAR:
```
KAs2P
1.0
-0.406 -2.694 1.713
2.933 -0.996 -0.871
3.470 4.000 7.115
As K P
2 1 1
Direct
0.000 0.000 0.933
0.500 0.500 0.230
0.000 0.000 0.526
0.500 0.500 0.811
```

Results
The total magnetization comes out at 0.000 μB/f.u. The total energy is -14.95 eV/f.u. Its crystal system is tetragonal.

Record 4
DFT (PBE) results for a relaxed KAsP crystal.

Geometry as POSCAR:
```
KAsP
1.0
5.022 0.000 0.000
0.000 3.588 0.000
0.000 0.000 5.144
K As P
1 1 1
Direct
0.500 0.500 0.926
0.000 0.000 0.639
0.000 0.500 0.355
```

Results
The total magnetization comes out at 0.000 μB/f.u. Its crystal system is orthorhombic. The calculation puts the energy above the lowest structure with this stoichiometry at 132 meV per atom.

Record 5
DFT (PBE) results for a relaxed K8As2P crystal.

Geometry as POSCAR:
```
K8As2P
1.0
-5.547 -0.201 0.395
0.348 -8.085 0.809
3.205 5.067 8.379
K As P
8 2 1
Direct
0.637 0.233 0.909
0.981 0.030 0.599
0.291 0.341 0.219
0.734 0.938 0.105
0.342 0.865 0.320
0.930 0.453 0.498
0.138 0.550 0.909
0.539 0.742 0.714
0.796 0.609 0.230
0.475 0.288 0.588
0.136 0.952 0.909
```

Results
The total magnetization comes out at 1.238 μB/f.u. The total energy is -26.38 eV/f.u. Its crystal system is monoclinic.

Record 6
DFT (PBE) results for a relaxed KAsP crystal.

Geometry as POSCAR:
```
KAsP
1.0
-4.692 -0.954 1.777
0.952 -0.335 -5.006
0.704 -2.855 0.325
As K P
1 1 1
Direct
0.000 0.000 0.834
0.667 0.333 0.333
0.333 0.667 0.833
```

Results
The total magnetization comes out at 0.000 μB/f.u. Its crystal system is hexagonal. The calculation puts the energy above the lowest structure with this stoichiometry at 575 meV per atom.

Record 7
DFT (PBE) results for a relaxed KAs2P crystal.

Geometry as POSCAR:
```
KAs2P
1.0
7.314 0.000 0.000
0.000 7.314 0.000
3.657 3.657 4.079
P As K
2 4 2
Direct
0.500 0.500 0.000
0.250 0.750 0.500
0.522 0.125 0.250
0.228 0.625 0.250
0.375 0.478 0.750
0.875 0.772 0.750
0.000 0.000 0.000
0.750 0.250 0.500
```

Results
The total magnetization comes out at 0.000 μB/f.u. The total energy is -16.37 eV/f.u. Its crystal system is tetragonal.

Record 8
DFT (PBE) results for a relaxed K2AsP crystal.

Geometry as POSCAR:
```
K2AsP
1.0
-0.803 -1.482 -4.040
-2.844 -2.906 1.631
-3.761 3.401 -0.499
As K P
1 2 1
Direct
0.000 0.500 0.500
0.000 0.000 0.000
0.500 0.500 0.000
0.500 0.000 0.500
```

Results
The total magnetization comes out at 0.000 μB/f.u. Its crystal system is tetragonal. The calculation puts the energy above the lowest structure with this stoichiometry at 398 meV per atom.